Compound: RbNbHg2
Source: Alexandria via LeMat-Bulk
Functional: PBE-GGA
Structure: optimized geometry

Cell and atoms, written as POSCAR:
```
RbNbHg2
1.0
0.573 -4.603 -2.820
1.476 -4.568 2.533
-3.579 -4.032 0.630
Rb Nb Hg
1 1 2
Direct
0.000 0.000 0.000
0.500 0.500 0.500
0.750 0.750 0.750
0.250 0.250 0.250
```

Computed properties:
Symmetry: Fm-3m, No. 225
Offset from the most stable computed form in meV per atom: 10
ΔH_f (0 K) in eV per atom: 0.768